DFT (PBE) results for a relaxed Ac2La6Sm5 crystal.

Cell and atoms, written as CIF:
```
data_Ac2La6Sm5
_space_group_name_H-M_alt 'P b a m'
_space_group_IT_number 55
_cell_length_a 12.3507
_cell_length_b 21.0746
_cell_length_c 3.7378
_cell_angle_alpha 90.00
_cell_angle_beta 90.00
_cell_angle_gamma 90.00
loop_
_space_group_symop_operation_xyz
'x,y,z'
'-x,-y,-z'
'-x,-y,z'
'x,y,-z'
'x+1/2,-y+1/2,-z'
'-x+1/2,y+1/2,z'
'-x+1/2,y+1/2,-z'
'x+1/2,-y+1/2,z'
loop_
_atom_site_label
_atom_site_fract_x
_atom_site_fract_y
_atom_site_fract_z
Ac1 0.1655 0.2208 0.0000
La1 0.0490 0.9238 0.0000
La2 0.0693 0.6374 0.0000
La3 0.1880 0.3810 0.5000
Sm1 0.0000 0.5000 0.5000
Sm2 0.0941 0.7807 0.5000
Sm3 0.2085 0.0560 0.5000
```

The spin magnetization is 0.000 Bohr magnetons per cell. Its energy relative to the elements is 0.1010 eV per atom.